This record from the Alexandria database describes Rb2YTcI6 after structural relaxation. The functional is GGA-PBE.

Cell and atoms, written as CIF:
```
data_Rb2YTcI6
_cell_length_a 11.601
_cell_length_b 11.601
_cell_length_c 11.601
_cell_angle_alpha 90.00
_cell_angle_beta 90.00
_cell_angle_gamma 90.00
_space_group_name_H-M_alt 'F m -3 m'
_space_group_IT_number 225
_space_group_name_Hall '-F 4 2 3'
loop_
_atom_site_label
_atom_site_type_symbol
_atom_site_fract_x
_atom_site_fract_y
_atom_site_fract_z
_atom_site_occupancy
Rb1 Rb 0.250 0.250 0.250 1
Y1 Y 0.000 0.000 0.000 1
Tc1 Tc 0.000 0.000 0.500 1
I1 I 0.000 0.000 0.261 1
```

Calculated values
uncorrected formation energy = -0.82 eV per atom